(1)
DFT (PBE-GGA) results for crystalline CuRe2Tc at its relaxed geometry.

Unit cell a=3.1486 b=3.1486 c=5.7341 alpha=90.00 beta=90.00 gamma=90.00
Fractional positions:
Cu 0.0000 0.0000 0.0000
Re 0.5000 0.5000 0.2263
Re 0.5000 0.5000 0.7737
Tc 0.0000 0.0000 0.5000

ΔE_f = 354.9 meV/atom
Volume = 14.21 Å³/atom
Space group = No. 123
Energy relative to the lowest polymorph listed for this composition = 198 meV/atom
Total DFT energy (no corrections) = -0.349 Ha/atom

(2)
DFT (PBE-GGA) results for crystalline Cu2ReTc at its relaxed geometry.

Unit cell a=4.7067 b=4.7067 c=4.6032 alpha=99.10 beta=99.10 gamma=32.85
Fractional positions:
Cu 0.2496 0.2496 0.2488
Cu 0.7504 0.7504 0.7512
Re 0.5000 0.5000 0.0000
Tc 0.0000 0.0000 0.5000

ΔE_f = 281.2 meV/atom
Volume = 13.64 Å³/atom
Space group = No. 12
Energy relative to the lowest polymorph listed for this composition = 141 meV/atom
Total DFT energy (no corrections) = -0.275 Ha/atom

(3)
DFT (PBE-GGA) results for crystalline CuReTc at its relaxed geometry.

Unit cell a=4.7441 b=4.7441 c=4.7441 alpha=141.10 beta=141.10 gamma=56.18
Fractional positions:
Cu 0.0000 0.0000 0.0000
Re 0.6674 0.6674 0.0000
Tc 0.3313 0.3313 0.0000

ΔE_f = 181.1 meV/atom
Volume = 13.92 Å³/atom
Space group = No. 107
Energy relative to the lowest polymorph listed for this composition = 37 meV/atom
Total DFT energy (no corrections) = -0.323 Ha/atom

(4)
DFT (PBE-GGA) results for crystalline Cu2ReTc at its relaxed geometry.

Unit cell a=2.6267 b=2.6267 c=8.6283 alpha=90.00 beta=90.00 gamma=111.43
Fractional positions:
Cu 0.0000 0.0000 0.0000
Cu 0.5000 0.5000 0.2331
Re 0.5000 0.5000 0.7435
Tc 0.0000 0.0000 0.4892

ΔE_f = 256.9 meV/atom
Volume = 13.85 Å³/atom
Space group = No. 35
Energy relative to the lowest polymorph listed for this composition = 117 meV/atom
Total DFT energy (no corrections) = -0.275 Ha/atom

(5)
DFT (PBE-GGA) results for crystalline Cu2ReTc at its relaxed geometry.

Unit cell a=4.6451 b=4.6451 c=4.7605 alpha=96.69 beta=96.69 gamma=32.25
Fractional positions:
Cu 0.0000 0.0000 0.0000
Cu 0.7478 0.7478 0.2124
Re 0.4947 0.4947 0.4925
Tc 0.2523 0.2523 0.7170

ΔE_f = 242.0 meV/atom
Volume = 13.60 Å³/atom
Space group = No. 8
Energy relative to the lowest polymorph listed for this composition = 102 meV/atom
Total DFT energy (no corrections) = -0.276 Ha/atom

(6)
DFT (PBE-GGA) results for crystalline CuReTc at its relaxed geometry.

Unit cell a=4.7436 b=4.7436 c=4.8094 alpha=90.00 beta=90.00 gamma=126.47
Fractional positions:
Cu 0.0000 0.0000 0.0000
Cu 0.0000 0.0000 0.5000
Re 0.2782 0.7218 0.7500
Re 0.7218 0.2782 0.2500
Tc 0.3929 0.6071 0.2500
Tc 0.6071 0.3929 0.7500

ΔE_f = 300.9 meV/atom
Volume = 14.50 Å³/atom
Space group = No. 63
Energy relative to the lowest polymorph listed for this composition = 157 meV/atom
Total DFT energy (no corrections) = -0.319 Ha/atom

(7)
DFT (PBE-GGA) results for crystalline Cu2ReTc at its relaxed geometry.

Unit cell a=2.6041 b=4.0932 c=5.0730 alpha=90.00 beta=90.00 gamma=90.00
Fractional positions:
Cu 0.0000 0.0000 0.2481
Cu 0.0000 0.0000 0.7519
Re 0.5000 0.5000 0.0000
Tc 0.5000 0.5000 0.5000

ΔE_f = 317.6 meV/atom
Volume = 13.52 Å³/atom
Space group = No. 47
Energy relative to the lowest polymorph listed for this composition = 177 meV/atom
Total DFT energy (no corrections) = -0.273 Ha/atom

(8)
DFT (PBE-GGA) results for crystalline Cu2ReTc at its relaxed geometry.

Unit cell a=4.2596 b=4.2596 c=4.2596 alpha=60.00 beta=60.00 gamma=60.00
Fractional positions:
Cu 0.0000 0.0000 0.0000
Cu 0.2500 0.2500 0.2500
Re 0.7500 0.7500 0.7500
Tc 0.5000 0.5000 0.5000

ΔE_f = 337.7 meV/atom
Volume = 13.66 Å³/atom
Space group = No. 216
Energy relative to the lowest polymorph listed for this composition = 197 meV/atom
Total DFT energy (no corrections) = -0.272 Ha/atom